Crystalline Sr2CrRh2 at its relaxed geometry. Source: Alexandria via LeMat-Bulk, functional PBE.

Results
* DOS(E_F): 3.4 states/eV/cell
* electronic total energy: -27.40 eV per formula unit
* energy of formation: 0.06 eV per atom

Cell: 6.9890 6.9890 4.7589 Å, 90.00 90.00 90.00°
Last column: nearest neighbours and their distance in Å.
Space group P4/mbm (No. 127)
Unique sites:
Sr 0.1764 0.3236 0.0000 x4  6 Rh 3.05-3.22
Cr 0.0000 0.0000 0.5000 x2  4 Rh 2.74
Rh 0.1308 0.6308 0.5000 x4  1 Rh 2.59, 2 Cr 2.74

Crystalline Ga4CuTc2 at its relaxed geometry. Source: Alexandria via LeMat-Bulk, functional PBE.

Results
* DOS(E_F): 7.8 states/eV/cell
* electronic total energy: -33.03 eV per formula unit
* energy of formation: 0.56 eV per atom

Cell: 4.5396 4.5396 12.6756 Å, 90.00 90.00 90.00°
Last column: nearest neighbours and their distance in Å.
Space group I4/mmm (No. 139)
Unique sites:
Ga 0.0000 0.0000 0.1931 x4  1 Cu 2.45, 1 Tc 2.54
Ga 0.0000 0.5000 0.0000 x4  2 Cu 2.27
Cu 0.0000 0.0000 0.0000 x2  6 Ga 2.27-2.45
Tc 0.0000 0.0000 0.3935 x4  5 Ga 2.54-2.64, 1 Tc 2.70

Crystalline La8Pm2Pr3 at its relaxed geometry. Source: Alexandria via LeMat-Bulk, functional PBE.

Results
* DOS(E_F): 41.0 states/eV/cell
* electronic total energy: -61.56 eV per formula unit
* energy of formation: 0.13 eV per atom
* distance to the lowest polymorph of the same formula: 0.000 eV/f.u.

Cell: 13.7748 11.9019 6.3223 Å, 90.00 113.94 90.00°
Last column: nearest neighbours and their distance in Å.
Space group C2/m (No. 12)
Unique sites:
La 0.0436 0.0000 0.2841 x4  2 Pm 3.14-3.39, 4 La 3.29-3.52, 2 Pr 3.46
La 0.1381 0.5000 0.5765 x4  3 Pr 3.36-3.42, 3 La 3.53-3.70, 2 Pm 3.64-3.68
La 0.1711 0.2322 0.1651 x8  2 Pm 3.51-3.82, 4 La 3.52-3.92, 3 Pr 3.76-3.91
Pm 0.2155 0.0000 0.7969 x4  4 La 3.14-3.51
Pr 0.0000 0.2536 0.5000 x4  6 La 3.42-3.76
Pr 0.0000 0.5000 0.0000 x2  2 La 3.36, 2 Pm 3.60

Crystalline PrNdTm2Te6 at its relaxed geometry. Source: Alexandria via LeMat-Bulk, functional PBE.

Results
* electronic total energy: -50.88 eV per formula unit

Cell: 7.8202 7.8202 21.0454 Å, 90.00 90.00 120.00°
Last column: nearest neighbours and their distance in Å.
Space group R3 (No. 146, hexagonal axes)
Unique sites:
Pr 0.0000 0.0000 0.0000 x3  6 Te 3.17-3.24
Nd 0.0000 0.0000 0.4988 x3  6 Te 3.16-3.21
Tm 0.0000 0.0000 0.3081 x3  6 Te 3.04-3.07
Tm 0.0000 0.0000 0.8089 x3  6 Te 3.04-3.07
Te 0.0120 0.3688 0.5648 x9  2 Tm 3.04-3.07, 1 Nd 3.16, 1 Pr 3.24
Te 0.0118 0.6394 0.0647 x9  2 Tm 3.04-3.07, 1 Pr 3.17, 1 Nd 3.21

Crystalline Cs2RbTaC at its relaxed geometry. Source: Alexandria via LeMat-Bulk, functional PBE.

Results
* DOS(E_F): 3.9 states/eV/cell
* electronic total energy: -18.01 eV per formula unit
* energy of formation: 1.15 eV per atom

Cell: 7.7874 7.7874 4.1410 Å, 90.00 90.00 90.00°
Last column: nearest neighbours and their distance in Å.
Space group P4/mmm (No. 123)
Unique sites:
Cs 0.0000 0.5000 0.0000 x2  2 Ta 3.89, 2 Cs 4.14
Rb 0.0000 0.0000 0.5000 x1  2 Rb 4.14, 8 Cs 4.41
Ta 0.5000 0.5000 0.0000 x1  2 C 2.07
C 0.5000 0.5000 0.5000 x1  2 Ta 2.07

Crystalline Pm4SmDy at its relaxed geometry. Source: Alexandria via LeMat-Bulk, functional PBE.

Results
* DOS(E_F): 39.4 states/eV/cell
* electronic total energy: -27.94 eV per formula unit
* energy of formation: 0.06 eV per atom
* distance to the lowest polymorph of the same formula: 0.000 eV/f.u.

Cell: 5.8356 22.6548 6.1877 Å, 90.00 90.00 90.00°
Last column: nearest neighbours and their distance in Å.
Space group Imma (No. 74)
Unique sites:
Pm 0.0000 0.0891 0.0586 x8  3 Sm 3.40-3.57, 6 Pm 3.50-3.76, 1 Dy 3.65
Pm 0.0000 0.1685 0.5742 x8  7 Pm 3.50-3.69, 4 Dy 3.58-3.62, 1 Sm 3.84
Sm 0.0000 0.0000 0.5000 x4  6 Pm 3.40-3.57
Dy 0.0000 0.2500 0.0774 x4  10 Pm 3.58-3.65, 2 Dy 3.62

Crystalline NaHgAs2C at its relaxed geometry. Source: Alexandria via LeMat-Bulk, functional PBE.

Results
* DOS(E_F): 3.0 states/eV/cell
* electronic total energy: -11.12 eV per formula unit
* energy of formation: 1.80 eV per atom

Cell: 5.1755 5.1755 5.6861 Å, 90.00 90.00 90.00°
Last column: nearest neighbours and their distance in Å.
Space group P4/mmm (No. 123)
Unique sites:
Na 0.0000 0.0000 0.0000 x1  2 Hg 2.84
Hg 0.0000 0.0000 0.5000 x1  4 As 2.59, 2 Na 2.84
As 0.0000 0.5000 0.5000 x2  2 Hg 2.59
C 0.5000 0.5000 0.0000 x1  4 Na 3.66, 8 As 3.84

Crystalline Hf4CoPd at its relaxed geometry. Source: Alexandria via LeMat-Bulk, functional PBE.

Results
* DOS(E_F): 14.1 states/eV/cell
* electronic total energy: -54.46 eV per formula unit
* energy of formation: -0.39 eV per atom
* distance to the lowest polymorph of the same formula: 0.000 eV/f.u.

Cell: 6.4527 6.4527 5.4359 Å, 90.00 90.00 90.00°
Last column: nearest neighbours and their distance in Å.
Space group P4/mcc (No. 124)
Unique sites:
Hf 0.1528 0.3219 0.0000 x8  2 Co 2.67, 2 Pd 2.86
Co 0.0000 0.0000 0.2500 x2  8 Hf 2.67, 2 Co 2.72
Pd 0.5000 0.5000 0.2500 x2  2 Pd 2.72, 8 Hf 2.86

Crystalline Na3H at its relaxed geometry. Source: Alexandria via LeMat-Bulk, functional PBE.

Results
* DOS(E_F): 1.0 states/eV/cell
* electronic total energy: -7.19 eV per formula unit
* distance to the lowest polymorph of the same formula: 0.046 eV/f.u.

Cell: 3.2185 3.3459 9.3222 Å, 90.00 90.00 90.00°
Last column: nearest neighbours and their distance in Å.
Space group Pmm2 (No. 25)
Unique sites:
Na 0.0000 0.0000 0.0000 x1  2 H 2.53
Na 0.0000 0.5000 0.3130 x1  4 H 2.51
Na 0.5000 0.5000 0.6807 x1  4 Na 3.22-3.35
H 0.5000 0.0000 0.2096 x1  6 Na 2.51-2.53

Crystalline NdHoPbAu at its relaxed geometry. Source: Alexandria via LeMat-Bulk, functional PBE.

Results
* DOS(E_F): 13.6 states/eV/cell
* electronic total energy: -18.72 eV per formula unit
* energy of formation: -0.60 eV per atom

Cell: 7.5464 7.5464 7.5464 Å, 90.00 90.00 90.00°
Last column: nearest neighbours and their distance in Å.
Space group F-43m (No. 216)
Unique sites:
Nd 0.0000 0.0000 0.0000 x4  4 Pb 3.27, 4 Au 3.27
Ho 0.0000 0.0000 0.5000 x4  4 Pb 3.27, 4 Au 3.27
Pb 0.2500 0.2500 0.7500 x4  4 Ho 3.27, 4 Nd 3.27
Au 0.2500 0.2500 0.2500 x4  4 Ho 3.27, 4 Nd 3.27

Crystalline Pm12NdGe6 at its relaxed geometry. Source: Alexandria via LeMat-Bulk, functional PBE.

Results
* DOS(E_F): 74.0 states/eV/cell
* electronic total energy: -97.53 eV per formula unit
* energy of formation: -0.42 eV per atom

Cell: 13.6221 13.6221 10.9559 Å, 90.00 90.00 120.00°
Last column: nearest neighbours and their distance in Å.
Space group R-3m (No. 166, hexagonal axes)
Unique sites:
Pm 0.0000 0.3771 0.0000 x18  4 Ge 2.94-3.07
Pm 0.0885 0.1770 0.8532 x18  3 Ge 3.08-3.12
Nd 0.0000 0.0000 0.5000 x3  6 Ge 4.39, 18 Pm 4.40-4.65
Ge 0.0334 0.5167 0.7675 x18  7 Pm 2.94-3.12

Crystalline HgBPd4 at its relaxed geometry. Source: Alexandria via LeMat-Bulk, functional PBE.

Results
* DOS(E_F): 9.1 states/eV/cell
* electronic total energy: -28.85 eV per formula unit
* energy of formation: -0.18 eV per atom
* distance to the lowest polymorph of the same formula: 0.302 eV/f.u.

Cell: 4.9088 5.6610 12.9833 Å, 90.00 90.00 90.00°
Last column: nearest neighbours and their distance in Å.
Space group Immm (No. 71)
Unique sites:
Hg 0.0000 0.0000 0.1932 x4  12 Pd 2.83-3.02
B 0.1834 0.0000 0.5000 x4  1 B 1.80
Pd 0.0000 0.2470 0.0000 x4  2 B 2.11
Pd 0.0000 0.2515 0.3871 x8  2 B 2.23
Pd 0.0000 0.5000 0.1895 x4  4 Hg 2.83-2.89, 8 Pd 2.85-3.01, 2 B 2.91

Number 12 is which compound? HgBPd4

Among the records above, which one has the highest electronic total energy? Na3H

What did the eleventh record say?
Crystalline Pm12NdGe6 at its relaxed geometry. Source: Alexandria via LeMat-Bulk, functional PBE.

Results
* DOS(E_F): 74.0 states/eV/cell
* electronic total energy: -97.53 eV per formula unit
* energy of formation: -0.42 eV per atom

Cell: 13.6221 13.6221 10.9559 Å, 90.00 90.00 120.00°
Last column: nearest neighbours and their distance in Å.
Space group R-3m (No. 166, hexagonal axes)
Unique sites:
Pm 0.0000 0.3771 0.0000 x18  4 Ge 2.94-3.07
Pm 0.0885 0.1770 0.8532 x18  3 Ge 3.08-3.12
Nd 0.0000 0.0000 0.5000 x3  6 Ge 4.39, 18 Pm 4.40-4.65
Ge 0.0334 0.5167 0.7675 x18  7 Pm 2.94-3.12

Among the records above, which one has the lowest electronic total energy? Pm12NdGe6